# YIrPt | Alexandria | PBE | optimized geometry
data_YIrPt
_cell_length_a 3.539
_cell_length_b 3.539
_cell_length_c 9.428
_cell_angle_alpha 90.00
_cell_angle_beta 90.00
_cell_angle_gamma 90.00
_space_group_name_H-M_alt 'I 4 m m'
_space_group_IT_number 107
_space_group_name_Hall 'I 4 -2'
loop_
_atom_site_label
_atom_site_type_symbol
_atom_site_fract_x
_atom_site_fract_y
_atom_site_fract_z
_atom_site_occupancy
Y1 Y 0.000 0.000 0.000 1
Ir1 Ir 0.000 0.000 0.698 1
Pt1 Pt 0.000 0.000 0.302 1
# calculated density	13.4	g/cm³
# ΔE to the lowest computed polymorph	142	kJ/mol of formula units
# E_form	-0.426	eV/atom

***

# Y3IrPt2 | Alexandria | PBE | optimized geometry
data_Y3IrPt2
_cell_length_a 4.932
_cell_length_b 14.804
_cell_length_c 6.924
_cell_angle_alpha 90.00
_cell_angle_beta 90.00
_cell_angle_gamma 90.00
_space_group_name_H-M_alt 'C m m m'
_space_group_IT_number 65
_space_group_name_Hall '-C 2 2'
loop_
_atom_site_label
_atom_site_type_symbol
_atom_site_fract_x
_atom_site_fract_y
_atom_site_fract_z
_atom_site_occupancy
Y1 Y 0.000 0.000 0.247 1
Y2 Y 0.000 0.332 0.246 1
Ir1 Ir 0.000 0.167 0.000 1
Pt1 Pt 0.000 0.166 0.500 1
Pt2 Pt 0.000 0.500 0.000 1
Pt3 Pt 0.000 0.500 0.500 1
# calculated density	11.2	g/cm³
# E_form	-1.074	eV/atom

***

# Y2IrPt | Alexandria | PBE | optimized geometry
data_Y2IrPt
_cell_length_a 4.0609
_cell_length_b 4.0609
_cell_length_c 19.8118
_cell_angle_alpha 90.00
_cell_angle_beta 90.00
_cell_angle_gamma 120.00
_space_group_name_H-M_alt 'R -3 m'
_space_group_IT_number 166
_space_group_name_Hall '-R 3 2"'
loop_
_atom_site_label
_atom_site_type_symbol
_atom_site_fract_x
_atom_site_fract_y
_atom_site_fract_z
_atom_site_occupancy
Y1 Y 0.0000 0.0000 0.2464 1
Ir1 Ir 0.0000 0.0000 0.5000 1
Pt1 Pt 0.0000 0.0000 0.0000 1
# calculated density	10.0	g/cm³
# E_form	-0.770	eV/atom

***

# YIr3Pt | Alexandria | PBE | optimized geometry
data_YIr3Pt
_cell_length_a 4.824
_cell_length_b 4.824
_cell_length_c 4.824
_cell_angle_alpha 90.00
_cell_angle_beta 90.00
_cell_angle_gamma 90.00
_space_group_name_H-M_alt 'P m -3 m'
_space_group_IT_number 221
_space_group_name_Hall '-P 4 2 3'
loop_
_atom_site_label
_atom_site_type_symbol
_atom_site_fract_x
_atom_site_fract_y
_atom_site_fract_z
_atom_site_occupancy
Y1 Y 0.000 0.000 0.000 1
Ir1 Ir 0.000 0.500 0.500 1
Pt1 Pt 0.500 0.500 0.500 1
# calculated density	12.7	g/cm³
# ΔE to the lowest computed polymorph	0	kJ/mol of formula units
# E_form	1.034	eV/atom

***

Q: Look up the E_form of the fourth one.
A: 1.034 eV/atom